8
Lattice="9.5170 0.0000 0.0000 0.0000 2.9887 0.0000 -1.1915 0.0000 4.5779" Properties=species:S:1:pos:R:3 comment="ScAgRu2 | Alexandria | PBE-GGA | optimized geometry" delta_e_f_ev_per_atom=0.0442 de_polymorph_mev_per_atom=17 n_ef_per_ev_atom=0.7792 sg="No. 8" pbc="T T T"
Sc 0.0000 0.0000 0.0000
Sc 4.7585 1.4943 0.0000
Ag 1.3502 0.0000 3.5055
Ag 6.1087 1.4943 3.5055
Ru 2.0354 1.4943 1.3299
Ru 4.0660 0.0000 2.0993
Ru 6.7940 0.0000 1.3299
Ru 8.8246 1.4943 2.0993


9
Lattice="9.8503 0.0000 0.0000 -4.9251 8.5306 0.0000 0.0000 0.0000 3.3318" Properties=species:S:1:pos:R:3 comment="Na2Mg | Alexandria | PBE-GGA | optimized geometry" delta_e_f_ev_per_atom=0.0999 n_ef_per_ev_atom=0.2767 sg="No. 189" pbc="T T T"
Na -1.5216 2.6355 0.0000
Na -3.1668 5.4851 1.6659
Na 3.0432 0.0000 0.0000
Na 1.7583 3.0455 1.6659
Na 6.3336 0.0000 1.6659
Na 3.4036 5.8951 0.0000
Mg 0.0000 0.0000 1.6659
Mg 0.0000 5.6871 0.0000
Mg 4.9251 2.8435 0.0000


6
Lattice="3.7196 0.0000 0.0000 0.0000 3.7196 0.0000 0.0000 0.0000 13.0724" Properties=species:S:1:pos:R:3 comment="SrLuAu | Alexandria | PBE-GGA | optimized geometry" delta_e_f_ev_per_atom=-0.5175 de_polymorph_mev_per_atom=0 n_ef_per_ev_atom=0.5821 sg="No. 107" pbc="T T T"
Sr 0.0000 0.0000 0.0000
Sr 1.8598 1.8598 6.5362
Lu 0.0000 0.0000 3.5430
Lu 1.8598 1.8598 10.0792
Au 0.0000 0.0000 8.8012
Au 1.8598 1.8598 2.2650


18
Lattice="6.6178 0.0000 0.0000 -3.3089 5.7312 0.0000 0.0000 0.0000 12.2140" Properties=species:S:1:pos:R:3 comment="HoMgAgCl6 | Alexandria | PBE-GGA | optimized geometry" n_ef_per_ev_atom=0.0000 raw_formation_energy_ev_per_atom=-1.71 sg="No. 163" pbc="T T T"
Ho 0.0000 3.8208 3.0535
Ho 3.3089 1.9104 9.1605
Mg 0.0000 3.8208 9.1605
Mg 3.3089 1.9104 3.0535
Ag 0.0000 0.0000 0.0000
Ag 0.0000 0.0000 6.1070
Cl -1.1055 2.0603 7.7156
Cl -2.0774 3.7437 10.6054
Cl 1.1055 2.0603 10.6054
Cl -0.9719 5.6584 7.7156
Cl 2.3370 0.0728 1.6086
Cl 1.2315 1.9875 4.4984
Cl 2.0774 3.7437 7.7156
Cl 0.9719 5.6584 10.6054
Cl 4.2808 0.0728 4.4984
Cl 2.2035 3.6709 1.6086
Cl 5.3863 1.9875 1.6086
Cl 4.4144 3.6709 4.4984


12
Lattice="4.8324 0.0000 0.0000 0.0000 14.8630 0.0000 0.0000 0.0000 4.8663" Properties=species:S:1:pos:R:3 comment="Er5Pb | Alexandria | PBE-GGA | optimized geometry" delta_e_f_ev_per_atom=-0.1813 n_ef_per_ev_atom=1.0938 sg="No. 65" pbc="T T T"
Er 0.0000 0.0000 0.0000
Er 0.0000 2.4343 2.4332
Er 0.0000 4.9009 0.0000
Er 0.0000 9.9621 0.0000
Er 0.0000 12.4286 2.4332
Er 2.4162 2.5306 0.0000
Er 2.4162 4.9971 2.4332
Er 2.4162 7.4315 0.0000
Er 2.4162 9.8658 2.4332
Er 2.4162 12.3324 0.0000
Pb 0.0000 7.4315 2.4332
Pb 2.4162 0.0000 2.4332


8
Lattice="2.7627 0.0000 0.0000 0.0000 4.4533 0.0000 0.0000 0.0000 8.5700" Properties=species:S:1:pos:R:3 comment="Ni2WCl | Alexandria | PBE-GGA | optimized geometry" de_polymorph_mev_per_atom=476 n_ef_per_ev_atom=1.0590 raw_formation_energy_ev_per_atom=0.62 sg="No. 71" pbc="T T T"
Ni 0.0000 0.0000 2.0449
Ni 0.0000 0.0000 6.5251
Ni 1.3813 2.2266 2.2401
Ni 1.3813 2.2266 6.3299
W 0.0000 2.2266 0.0000
W 1.3813 0.0000 4.2850
Cl 0.0000 2.2266 4.2850
Cl 1.3813 0.0000 0.0000


7
Lattice="2.4644 1.4228 8.4585 -2.4644 1.4228 8.4585 0.0000 -2.8456 8.4585" Properties=species:S:1:pos:R:3 comment="CeSc2Tl2Cd2 | Alexandria | PBE-GGA | optimized geometry" delta_e_f_ev_per_atom=-0.1300 n_ef_per_ev_atom=1.6556 sg="No. 166" pbc="T T T"
Ce 0.0000 0.0000 0.0000
Sc 0.0000 0.0000 3.4869
Sc 0.0000 0.0000 21.8887
Tl 0.0000 0.0000 6.7386
Tl 0.0000 0.0000 18.6369
Cd 0.0000 0.0000 11.1493
Cd 0.0000 0.0000 14.2263


5
Lattice="5.3043 0.0000 0.0000 0.0000 5.3043 0.0000 0.0000 0.0000 5.2819" Properties=species:S:1:pos:R:3 comment="MnVZn2Bi | Alexandria | PBE-GGA | optimized geometry" delta_e_f_ev_per_atom=1.3627 n_ef_per_ev_atom=1.1320 sg="No. 123" pbc="T T T"
Mn 0.0000 0.0000 0.0000
V 2.6521 2.6521 0.0000
Zn 0.0000 2.6521 2.6409
Zn 2.6521 0.0000 2.6409
Bi 2.6521 2.6521 2.6409


5
Lattice="4.9438 0.0000 0.0000 0.0000 4.9438 0.0000 0.0000 0.0000 4.9438" Properties=species:S:1:pos:R:3 comment="Ge3WSe | Alexandria | PBE-GGA | optimized geometry" de_polymorph_mev_per_atom=0 n_ef_per_ev_atom=0.6991 raw_formation_energy_ev_per_atom=0.56 sg="No. 221" pbc="T T T"
Ge 0.0000 0.0000 2.4719
Ge 0.0000 2.4719 0.0000
Ge 2.4719 0.0000 0.0000
W 0.0000 0.0000 0.0000
Se 2.4719 2.4719 2.4719


10
Lattice="6.0788 -8.5341 0.0000 6.0788 8.5341 0.0000 0.0000 0.0000 3.5225" Properties=species:S:1:pos:R:3 comment="Tb2PmNd7 | Alexandria | PBE-GGA | optimized geometry" delta_e_f_ev_per_atom=0.3721 de_polymorph_mev_per_atom=0 n_ef_per_ev_atom=1.5447 sg="No. 65" pbc="T T T"
Tb 6.0788 5.6594 0.0000
Tb 6.0788 -5.6594 0.0000
Pm 0.0000 0.0000 1.7613
Nd 3.1095 2.2228 0.0000
Nd 6.0788 3.0195 1.7613
Nd 3.1095 -2.2228 0.0000
Nd 6.0788 0.0000 0.0000
Nd 9.0480 2.2228 0.0000
Nd 6.0788 -3.0195 1.7613
Nd 9.0480 -2.2228 0.0000


12
Lattice="4.5599 0.0000 0.0000 0.0000 13.6527 0.0000 0.0000 0.0000 3.1326" Properties=species:S:1:pos:R:3 comment="Sc2TiRh3 | Alexandria | PBE-GGA | optimized geometry" delta_e_f_ev_per_atom=-0.9180 de_polymorph_mev_per_atom=2 n_ef_per_ev_atom=0.6899 sg="No. 65" pbc="T T T"
Sc 0.0000 2.2765 0.0000
Sc 0.0000 11.3763 0.0000
Sc 2.2800 4.5499 0.0000
Sc 2.2800 9.1028 0.0000
Ti 0.0000 6.8264 0.0000
Ti 2.2800 0.0000 0.0000
Rh 0.0000 0.0000 1.5663
Rh 0.0000 4.6717 1.5663
Rh 0.0000 8.9810 1.5663
Rh 2.2800 2.1546 1.5663
Rh 2.2800 6.8264 1.5663
Rh 2.2800 11.4981 1.5663


16
Lattice="6.7281 0.0000 0.0000 0.0000 6.7281 0.0000 0.0000 0.0000 6.7281" Properties=species:S:1:pos:R:3 comment="ErMgTiTc | Alexandria | PBE-GGA | optimized geometry" delta_e_f_ev_per_atom=0.0079 n_ef_per_ev_atom=1.1022 sg="No. 216" pbc="T T T"
Er 0.0000 0.0000 0.0000
Er 0.0000 3.3641 3.3641
Er 3.3641 0.0000 3.3641
Er 3.3641 3.3641 0.0000
Mg 1.6820 1.6820 1.6820
Mg 1.6820 5.0461 5.0461
Mg 5.0461 1.6820 5.0461
Mg 5.0461 5.0461 1.6820
Ti 0.0000 0.0000 3.3641
Ti 0.0000 3.3641 0.0000
Ti 3.3641 0.0000 0.0000
Ti 3.3641 3.3641 3.3641
Tc 1.6820 1.6820 5.0461
Tc 1.6820 5.0461 1.6820
Tc 5.0461 1.6820 1.6820
Tc 5.0461 5.0461 5.0461


12
Lattice="4.1761 0.0000 0.0000 -2.0880 3.6166 0.0000 0.0000 0.0000 21.3103" Properties=species:S:1:pos:R:3 comment="Mg2SnSb | Alexandria | PBE-GGA | optimized geometry" de_polymorph_mev_per_atom=124 n_ef_per_ev_atom=0.6178 raw_formation_energy_ev_per_atom=-0.04 sg="No. 166" pbc="T T T"
Mg 0.0000 0.0000 5.1606
Mg 0.0000 0.0000 16.1496
Mg 0.0000 2.4111 9.0462
Mg 0.0000 2.4111 19.3675
Mg 2.0881 1.2055 1.9428
Mg 2.0881 1.2055 12.2641
Sn 0.0000 0.0000 0.0000
Sn 0.0000 2.4111 14.2069
Sn 2.0881 1.2055 7.1034
Sb 0.0000 0.0000 10.6551
Sb 0.0000 2.4111 3.5517
Sb 2.0881 1.2055 17.7586


8
Lattice="2.2372 1.2916 8.3142 -2.2372 1.2916 8.3142 0.0000 -2.5833 8.3142" Properties=species:S:1:pos:R:3 comment="Li2ErZnAu4 | Alexandria | PBE-GGA | optimized geometry" delta_e_f_ev_per_atom=-0.5699 n_ef_per_ev_atom=0.2594 sg="No. 166" pbc="T T T"
Li 0.0000 0.0000 5.9780
Li 0.0000 0.0000 18.9646
Er 0.0000 0.0000 0.0000
Zn 0.0000 0.0000 12.4713
Au 0.0000 0.0000 3.1584
Au 0.0000 0.0000 9.8072
Au 0.0000 0.0000 15.1355
Au 0.0000 0.0000 21.7842


30
Lattice="7.4135 -2.5650 0.0000 7.4135 2.5650 0.0000 -5.9308 0.0000 8.6220" Properties=species:S:1:pos:R:3 comment="Na10B17C3 | Alexandria | PBE-GGA | optimized geometry" delta_e_f_ev_per_atom=0.2423 de_polymorph_mev_per_atom=37 n_ef_per_ev_atom=0.1894 sg="No. 5" pbc="T T T"
Na 13.3446 0.0000 2.1500
Na -4.4485 0.0000 6.4720
Na -1.4898 0.0036 6.4739
Na 1.4813 -0.0135 2.1420
Na 4.4414 0.0116 2.1379
Na 1.4819 -0.0065 6.5027
Na 4.4547 0.0116 6.4842
Na 7.4142 -0.0065 2.1193
Na 10.3859 0.0036 2.1481
Na 7.4148 -0.0135 6.4800
B -0.0372 0.8001 4.3135
B -2.8934 0.7909 8.6214
B 4.4481 1.7798 4.3110
B 5.9159 0.9120 0.0010
B 3.0369 0.8831 4.3106
B 0.0455 -0.9300 4.3120
B 5.8593 0.8831 4.3115
B 2.9802 0.9120 8.6210
B 2.8986 -0.8351 4.3114
B -0.0206 -0.8377 8.6217
B 11.7895 0.7909 0.0006
B 8.9333 0.8001 4.3086
B 8.9167 -0.8377 0.0003
B 5.9975 -0.8351 4.3107
B 4.4481 -1.6144 4.3110
B 7.4135 -1.8203 0.0000
B 8.8506 -0.9300 4.3100
C 7.4135 1.7364 0.0000
C -2.9670 -0.8508 8.6213
C 11.8631 -0.8508 0.0007


5
Lattice="4.3827 0.0000 0.0000 0.0000 4.3827 0.0000 0.0000 0.0000 5.2179" Properties=species:S:1:pos:R:3 comment="FePAuCl2 | Alexandria | PBE-GGA | optimized geometry" de_polymorph_mev_per_atom=0 n_ef_per_ev_atom=0.4658 raw_formation_energy_ev_per_atom=0.32 sg="No. 123" pbc="T T T"
Fe 0.0000 0.0000 0.0000
P 0.0000 0.0000 2.6089
Au 2.1914 2.1914 2.6089
Cl 0.0000 2.1914 0.0000
Cl 2.1914 0.0000 0.0000


9
Lattice="5.0364 -2.9780 0.0000 5.0364 2.9780 0.0000 -0.2458 0.0000 4.7915" Properties=species:S:1:pos:R:3 comment="K2TcO2F4 | Alexandria | PBE-GGA | optimized geometry" raw_formation_energy_ev_per_atom=-2.19 sg="No. 12" pbc="T T T"
K 1.5927 0.0000 1.4623
K 8.2343 0.0000 3.3292
Tc 5.0364 0.0000 0.0000
O 3.4396 0.0000 3.6404
O 6.3874 0.0000 1.1511
F 4.1264 1.4405 1.0182
F 5.7006 1.4405 3.7732
F 4.1264 -1.4405 1.0182
F 5.7006 -1.4405 3.7732


12
Lattice="5.1139 0.0000 0.0000 0.0000 4.1749 0.0000 0.0000 0.0000 8.0424" Properties=species:S:1:pos:R:3 comment="MgCoRe | Alexandria | PBE-GGA | optimized geometry" delta_e_f_ev_per_atom=0.2945 de_polymorph_mev_per_atom=231 n_ef_per_ev_atom=0.9670 sg="No. 62" pbc="T T T"
Mg 0.6918 1.0437 0.5731
Mg 1.8652 3.1311 4.5943
Mg 3.2488 1.0437 3.4481
Mg 4.4221 3.1311 7.4694
Co 0.6395 1.0437 3.2546
Co 1.9175 3.1311 7.2759
Co 3.1964 1.0437 0.7666
Co 4.4745 3.1311 4.7878
Re 0.3445 1.0437 5.7094
Re 2.2124 3.1311 1.6882
Re 2.9015 1.0437 6.3543
Re 4.7694 3.1311 2.3331


80
Lattice="-5.3941 5.3941 5.3941 5.3941 -5.3941 5.3941 5.3941 5.3941 -5.3941" Properties=species:S:1:pos:R:3 comment="Cu3H12Ir5 | Alexandria | PBE-GGA | optimized geometry" n_ef_per_ev_atom=0.4159 sg="No. 230" pbc="T T T"
Cu 2.6970 1.3485 0.0000
Cu 5.3941 2.6970 -1.3485
Cu 1.3485 0.0000 2.6970
Cu 6.7426 0.0000 2.6970
Cu 0.0000 2.6970 1.3485
Cu 2.6970 -1.3485 5.3941
Cu 2.6970 6.7426 0.0000
Cu 5.3941 2.6970 4.0456
Cu -1.3485 5.3941 2.6970
Cu 4.0456 5.3941 2.6970
Cu 0.0000 2.6970 6.7426
Cu 2.6970 4.0456 5.3941
H 1.6051 -0.2515 0.7683
H 6.4861 3.4654 -2.9486
H 5.1426 -0.7683 1.6051
H 8.3427 -1.0920 1.9287
H 6.9992 0.2515 0.7683
H 6.4861 -1.9287 2.9486
H 0.7683 1.6051 -0.2515
H 7.3228 2.4455 -1.0920
H 3.4654 2.9486 -1.0920
H 4.6258 1.6051 0.2515
H -0.2515 0.7683 1.6051
H 2.9486 -1.0920 3.4654
H 5.1426 4.6258 -1.6051
H 2.9486 1.0920 1.9287
H 4.6258 -1.6051 5.1426
H 3.4654 -2.9486 6.4861
H 1.9287 2.9486 1.0920
H 6.1624 3.7890 0.2515
H 1.6051 5.1426 -0.7683
H 6.4861 1.9287 2.4455
H 2.9486 6.4861 -1.9287
H 5.1426 0.7683 3.7890
H 1.0920 1.9287 2.9486
H 1.6051 0.2515 4.6258
H 3.7890 5.1426 0.7683
H 4.3021 3.4654 2.4455
H 0.2515 4.6258 1.6051
H 2.4455 -1.0920 7.3228
H -1.0920 3.4654 2.9486
H 3.7890 0.2515 6.1624
H -0.7683 1.6051 5.1426
H 3.4654 2.4455 4.3021
H 1.9287 8.3427 -1.0920
H 0.7683 6.9992 0.2515
H 2.4455 4.3021 3.4654
H 0.2515 0.7683 6.9992
H 2.4455 6.4861 1.9287
H 5.6456 4.6258 3.7890
H 0.7683 3.7890 5.1426
H 1.9287 2.4455 6.4861
H -1.9287 2.9486 6.4861
H 4.6258 3.7890 5.6456
H -1.0920 7.3228 2.4455
H -1.6051 5.1426 4.6258
H -2.9486 6.4861 3.4654
H 0.2515 6.1624 3.7890
H -1.0920 1.9287 8.3427
H 3.7890 5.6456 4.6258
Ir 0.0000 0.0000 0.0000
Ir 2.6970 2.6970 -2.6970
Ir 2.6970 -2.6970 2.6970
Ir 5.3941 0.0000 0.0000
Ir 8.0911 1.3485 0.0000
Ir 5.3941 -2.6970 4.0456
Ir 4.0456 5.3941 -2.6970
Ir 4.0456 0.0000 2.6970
Ir 2.6970 4.0456 0.0000
Ir 5.3941 2.6970 1.3485
Ir -2.6970 2.6970 2.6970
Ir 0.0000 5.3941 0.0000
Ir 0.0000 0.0000 5.3941
Ir 2.6970 2.6970 2.6970
Ir 0.0000 2.6970 4.0456
Ir 2.6970 1.3485 5.3941
Ir 1.3485 5.3941 2.6970
Ir 1.3485 0.0000 8.0911
Ir 0.0000 8.0911 1.3485
Ir -2.6970 4.0456 5.3941


5
Lattice="4.8066 0.0000 0.0000 0.0000 4.8066 0.0000 0.0000 0.0000 4.8066" Properties=species:S:1:pos:R:3 comment="ReSiPd3 | Alexandria | PBE-GGA | optimized geometry" de_polymorph_mev_per_atom=653 n_ef_per_ev_atom=0.8226 raw_formation_energy_ev_per_atom=1.42 sg="No. 221" pbc="T T T"
Re 0.0000 0.0000 0.0000
Si 2.4033 2.4033 2.4033
Pd 0.0000 0.0000 2.4033
Pd 0.0000 2.4033 0.0000
Pd 2.4033 0.0000 0.0000


| no. | raw total energy (eV/atom) | total magnetization (μB per cell) |
| --- | --- | --- |
| 1 | -6.8894 | 0.00 |
| 2 | -1.3110 | 0.00 |
| 3 | -3.6776 | 0.00 |
| 4 | -3.9469 | 0.00 |
| 5 | -4.6017 | 0.00 |
| 6 | -5.9661 | 0.00 |
| 7 | -3.7242 | 1.87 |
| 8 | -3.5807 | 8.02 |
| 9 | -5.4989 | 1.93 |
| 10 | -4.3665 | 0.00 |
| 11 | -8.0201 | 0.00 |
| 12 | -6.0967 | 0.00 |
| 13 | -2.8690 | 0.00 |
| 14 | -3.4167 | 0.00 |
| 15 | -4.9037 | 0.00 |
| 16 | -3.8438 | 2.84 |
| 17 | -5.5196 | 1.00 |
| 18 | -6.7550 | 0.01 |
| 19 | -4.5748 | 0.00 |
| 20 | -5.2737 | 0.00 |